<w>
Compound: Eu2HgP
Source: Alexandria via LeMat-Bulk
Functional: PBE
Structure: optimized geometry

Unit cell a=4.2868 b=4.2868 c=23.0855 alpha=90.00 beta=90.00 gamma=120.00
Space group R-3m (No. 166, hexagonal axes)
Asymmetric unit:
Eu1 0.0000 0.0000 0.2339 x6
Hg1 0.0000 0.0000 0.0000 x3
P1 0.0000 0.0000 0.5000 x3

Computed properties:
- Density of states at the Fermi level: 19.5 states/eV/f.u.
- Theoretical density: 7.26 g cm⁻³

=====

<x>
Compound: Eu2HgP
Source: Alexandria via LeMat-Bulk
Functional: PBE
Structure: optimized geometry

Unit cell a=7.495 b=7.495 c=7.495 alpha=90.00 beta=90.00 gamma=90.00
Space group Fm-3m (No. 225)
Asymmetric unit:
Eu1 0.250 0.250 0.250 x8
Hg1 0.000 0.000 0.000 x4
P1 0.000 0.000 0.500 x4

Computed properties:
- Density of states at the Fermi level: 3.2 states/eV/f.u.
- Theoretical density: 8.45 g cm⁻³

=====

<y>
Compound: Eu2HgP
Source: Alexandria via LeMat-Bulk
Functional: PBE
Structure: optimized geometry

Unit cell a=3.758 b=3.758 c=7.397 alpha=90.00 beta=90.00 gamma=90.00
Space group P4/mmm (No. 123)
Asymmetric unit:
Eu1 0.000 0.000 0.213 x2
Hg1 0.500 0.500 0.500 x1
P1 0.500 0.500 0.000 x1

Computed properties:
- Density of states at the Fermi level: 5.7 states/eV/f.u.
- Theoretical density: 8.51 g cm⁻³

=====

Calculated relative energies: <w> 0.000; <x> 0.135; <y> 0.016, given in eV/atom

=====

<w>
Compound: PmEuHg
Source: Alexandria via LeMat-Bulk
Functional: PBE
Structure: optimized geometry

Unit cell a=5.2896 b=5.2896 c=3.8839 alpha=90.00 beta=90.00 gamma=120.00
Space group P3m1 (No. 156)
Asymmetric unit:
Pm1 0.0000 0.0000 0.0000 x1
Eu1 0.6667 0.3333 0.4439 x1
Hg1 0.3333 0.6667 0.7770 x1

Computed properties:
- Density of states at the Fermi level: 2.7 states/eV/f.u.
- Theoretical density: 8.78 g cm⁻³

=====

<x>
Compound: PmEuHg
Source: Alexandria via LeMat-Bulk
Functional: PBE
Structure: optimized geometry

Unit cell a=7.503 b=7.503 c=7.503 alpha=90.00 beta=90.00 gamma=90.00
Space group F-43m (No. 216)
Asymmetric unit:
Pm1 0.000 0.000 0.000 x4
Eu1 0.000 0.000 0.500 x4
Hg1 0.250 0.250 0.750 x4

Computed properties:
- Density of states at the Fermi level: 4.2 states/eV/f.u.
- Theoretical density: 7.82 g cm⁻³

=====

Calculated relative energies: <w> 0.000; <x> 0.048, given in eV/atom

=====

<w>
Compound: Pm2EuHg
Source: Alexandria via LeMat-Bulk
Functional: PBE
Structure: optimized geometry

Unit cell a=5.014 b=5.014 c=4.841 alpha=90.00 beta=90.00 gamma=90.00
Space group P4/mmm (No. 123)
Asymmetric unit:
Pm1 0.000 0.500 0.000 x2
Eu1 0.000 0.000 0.500 x1
Hg1 0.500 0.500 0.500 x1

Computed properties:
- Density of states at the Fermi level: 5.0 states/eV/f.u.
- Theoretical density: 8.77 g cm⁻³

=====

<x>
Compound: Pm2EuHg
Source: Alexandria via LeMat-Bulk
Functional: PBE
Structure: optimized geometry

Unit cell a=7.863 b=7.863 c=7.863 alpha=90.00 beta=90.00 gamma=90.00
Space group Fm-3m (No. 225)
Asymmetric unit:
Pm1 0.250 0.250 0.250 x8
Eu1 0.000 0.000 0.000 x4
Hg1 0.000 0.000 0.500 x4

Computed properties:
- Density of states at the Fermi level: 4.5 states/eV/f.u.
- Theoretical density: 8.78 g cm⁻³

=====

<y>
Compound: Pm2EuHg
Source: Alexandria via LeMat-Bulk
Functional: PBE
Structure: optimized geometry

Unit cell a=3.809 b=3.809 c=8.971 alpha=90.00 beta=90.00 gamma=90.00
Space group P4/mmm (No. 123)
Asymmetric unit:
Pm1 0.000 0.000 0.208 x2
Eu1 0.500 0.500 0.500 x1
Hg1 0.500 0.500 0.000 x1

Computed properties:
- Density of states at the Fermi level: 4.6 states/eV/f.u.
- Theoretical density: 8.20 g cm⁻³

=====

Calculated relative energies: <w> 0.050; <x> 0.106; <y> 0.000, given in eV/atom

=====

<w>
Compound: PrEuHg
Source: Alexandria via LeMat-Bulk
Functional: PBE
Structure: optimized geometry

Unit cell a=5.3245 b=5.3245 c=3.8795 alpha=90.00 beta=90.00 gamma=120.00
Space group P3m1 (No. 156)
Asymmetric unit:
Pr1 0.0000 0.0000 0.0000 x1
Eu1 0.6667 0.3333 0.4351 x1
Hg1 0.3333 0.6667 0.7431 x1

Computed properties:
- Density of states at the Fermi level: 2.7 states/eV/f.u.
- Theoretical density: 8.60 g cm⁻³

=====

<x>
Compound: PrEuHg
Source: Alexandria via LeMat-Bulk
Functional: PBE
Structure: optimized geometry

Unit cell a=3.863 b=3.863 c=13.239 alpha=90.00 beta=90.00 gamma=90.00
Space group I4mm (No. 107)
Asymmetric unit:
Pr1 0.000 0.000 0.000 x2
Eu1 0.000 0.000 0.713 x2
Hg1 0.000 0.000 0.362 x2

Computed properties:
- Density of states at the Fermi level: 3.3 states/eV/f.u.
- Theoretical density: 8.29 g cm⁻³

=====

<y>
Compound: PrEuHg
Source: Alexandria via LeMat-Bulk
Functional: PBE
Structure: optimized geometry

Unit cell a=7.561 b=7.561 c=7.561 alpha=90.00 beta=90.00 gamma=90.00
Space group F-43m (No. 216)
Asymmetric unit:
Pr1 0.000 0.000 0.000 x4
Eu1 0.000 0.000 0.500 x4
Hg1 0.250 0.250 0.750 x4

Computed properties:
- Density of states at the Fermi level: 4.9 states/eV/f.u.
- Theoretical density: 7.58 g cm⁻³

=====

Calculated relative energies: <w> 0.111; <x> 0.000; <y> 0.151, given in eV/atom

=====

<w>
Compound: EuHgPt
Source: Alexandria via LeMat-Bulk
Functional: PBE
Structure: optimized geometry

Unit cell a=4.7557 b=4.7557 c=3.7640 alpha=90.00 beta=90.00 gamma=120.00
Space group P-6m2 (No. 187)
Asymmetric unit:
Eu1 0.0000 0.0000 0.0000 x1
Hg1 0.3333 0.6667 0.5000 x1
Pt1 0.6667 0.3333 0.5000 x1

Computed properties:
- Density of states at the Fermi level: 9.4 states/eV/f.u.
- Theoretical density: 12.33 g cm⁻³

=====

<x>
Compound: EuHgPt
Source: Alexandria via LeMat-Bulk
Functional: PBE
Structure: optimized geometry

Unit cell a=3.741 b=3.741 c=9.965 alpha=90.00 beta=90.00 gamma=90.00
Space group I4mm (No. 107)
Asymmetric unit:
Eu1 0.000 0.000 0.000 x2
Hg1 0.000 0.000 0.691 x2
Pt1 0.000 0.000 0.339 x2

Computed properties:
- Density of states at the Fermi level: 11.7 states/eV/f.u.
- Theoretical density: 13.04 g cm⁻³

=====

Calculated relative energies: <w> 0.000; <x> 0.074, given in eV/atom

=====

<w>
Compound: EuPuHg
Source: Alexandria via LeMat-Bulk
Functional: PBE
Structure: optimized geometry

Unit cell a=3.746 b=3.746 c=12.917 alpha=90.00 beta=90.00 gamma=90.00
Space group I4mm (No. 107)
Asymmetric unit:
Eu1 0.000 0.000 0.000 x2
Pu1 0.000 0.000 0.301 x2
Hg1 0.000 0.000 0.656 x2

Computed properties:
- Density of states at the Fermi level: 11.8 states/eV/f.u.
- Theoretical density: 10.93 g cm⁻³

=====

<x>
Compound: EuPuHg
Source: Alexandria via LeMat-Bulk
Functional: PBE
Structure: optimized geometry

Unit cell a=5.3791 b=5.3791 c=3.4334 alpha=90.00 beta=90.00 gamma=120.00
Space group P3m1 (No. 156)
Asymmetric unit:
Eu1 0.0000 0.0000 0.0000 x1
Pu1 0.3333 0.6667 0.3881 x1
Hg1 0.6667 0.3333 0.6592 x1

Computed properties:
- Density of states at the Fermi level: 11.2 states/eV/f.u.
- Theoretical density: 11.51 g cm⁻³

=====

Calculated relative energies: <w> 0.000; <x> 0.117, given in eV/atom